Model a:
CsTa3Au: single point on PBEsol structure, meta-GGA SCAN.

Summary:
Calculated volume = 26.012 Å³ per atom

Cell: 5.067 5.067 5.067 Å, 90.00 90.00 90.00°
Atoms (fractional coordinates):
Cs 0.500 0.500 0.500
Au 0.000 0.000 0.000
Ta 0.000 0.500 0.000
Ta 0.000 0.000 0.500
Ta 0.500 0.000 0.000

=====

Model b:
CsTa3Au: single point on PBEsol structure, meta-GGA SCAN.

Summary:
Calculated volume = 23.833 Å³ per atom

Cell: 4.921 4.921 4.921 Å, 90.00 90.00 90.00°
Atoms (fractional coordinates):
Cs 0.000 0.000 0.000
Au 0.500 0.500 0.500
Ta 0.000 0.500 0.000
Ta 0.000 0.000 0.500
Ta 0.500 0.000 0.000

=====

Ranked by calculated energy, most stable first: model a, model b.